# Li11Co2O8 (PBEsol, optimized geometry)
# density of states at the Fermi level: 10.8 states/eV/f.u.
# formation energy without anion corrections: -37.562 kcal/mol of atoms
# electronic total energy: -5.396 eV/atom
data_Li11Co2O8
_cell_length_a 8.9896
_cell_length_b 9.2478
_cell_length_c 9.1901
_cell_angle_alpha 90.00
_cell_angle_beta 90.00
_cell_angle_gamma 90.00
_symmetry_space_group_name_H-M 'C 2 2 21'
_symmetry_Int_Tables_number 20
_symmetry_space_group_name_Hall 'C 2c 2'
loop_
_atom_site_label
_atom_site_type_symbol
_atom_site_fract_x
_atom_site_fract_y
_atom_site_fract_z
Li1 Li 0.0000 0.2247 0.2500
Li2 Li 0.0007 0.2780 0.5184
Li3 Li 0.2069 0.0039 0.7484
Li4 Li 0.2120 0.5000 0.5000
Li5 Li 0.2164 0.5000 0.0000
Li6 Li 0.2285 0.2534 0.7195
Li7 Li 0.2501 0.2472 0.4668
Co1 Co 0.0002 0.0000 0.0000
Co2 Co 0.0000 0.4967 0.7500
O1 O 0.1311 0.3690 0.3522
O2 O 0.1343 0.1272 0.5918
O3 O 0.1336 0.1309 0.1003
O4 O 0.1352 0.3816 0.8544